# 1
DFT (PBE) results for a geometry-optimized Pa3NbSe2O6 structure.

Cell lengths 12.122, 7.287, 5.551 Å; angles 90.00, 104.53, 90.00 degrees
Space group C2/m (No. 12)
Inequivalent atoms, fractional coordinates:
Pa1 0.000 0.000 0.000 [2 per cell]
Pa2 0.250 0.250 0.500 [4 per cell]
Nb1 0.000 0.500 0.500 [2 per cell]
Se1 0.209 0.000 0.859 [4 per cell]
O1 0.073 0.219 0.284 [8 per cell]
O2 0.181 0.500 0.611 [4 per cell]

Computed properties:
The formation energy from raw total energies is -2.42 eV per atom.

---

# 2
DFT (PBE) results for a geometry-optimized Ba3In8Ag3 structure.

Cell lengths 5.005, 11.183, 14.286 Å; angles 90.00, 90.00, 90.00 degrees
Space group Immm (No. 71)
Inequivalent atoms, fractional coordinates:
Ba1 0.000 0.000 0.000 [2 per cell]
Ba2 0.000 0.000 0.308 [4 per cell]
In1 0.000 0.286 0.126 [8 per cell]
In2 0.000 0.361 0.336 [8 per cell]
Ag1 0.000 0.210 0.500 [4 per cell]
Ag2 0.000 0.500 0.000 [2 per cell]

Computed properties:
Its formation energy from the elements is -0.32 eV per atom. The calculation puts the excess energy over the best structure of this formula in the dataset at 0.000 eV/atom.

---

# 3
DFT (PBE) results for a geometry-optimized ErHfZnRu structure.

Cell lengths 6.720, 6.720, 6.720 Å; angles 90.00, 90.00, 90.00 degrees
Space group F-43m (No. 216)
Inequivalent atoms, fractional coordinates:
Er1 0.000 0.000 0.000 [4 per cell]
Hf1 0.000 0.000 0.500 [4 per cell]
Zn1 0.250 0.250 0.250 [4 per cell]
Ru1 0.250 0.250 0.750 [4 per cell]

Computed properties:
Its formation energy from the elements is -0.37 eV per atom.

---

# 4
DFT (PBE) results for a geometry-optimized ZrSc2Hg structure.

Cell lengths 3.302, 3.302, 8.321 Å; angles 90.00, 90.00, 90.00 degrees
Space group P4/mmm (No. 123)
Inequivalent atoms, fractional coordinates:
Zr1 0.000 0.000 0.000 [1 per cell]
Sc1 0.500 0.500 0.260 [2 per cell]
Hg1 0.000 0.000 0.500 [1 per cell]

Computed properties:
Its formation energy from the elements is -0.24 eV per atom.

---

# 5
DFT (PBE) results for a geometry-optimized BaLi2Ag structure.

Cell lengths 4.978, 6.308, 7.144 Å; angles 90.00, 90.00, 90.00 degrees
Space group Pmmn (No. 59, origin choice 2)
Inequivalent atoms, fractional coordinates:
Ba1 0.250 0.250 0.083 [2 per cell]
Li1 0.250 0.022 0.597 [4 per cell]
Ag1 0.250 0.750 0.295 [2 per cell]

Computed properties:
Its formation energy from the elements is -0.13 eV per atom. The calculation puts the excess energy over the best structure of this formula in the dataset at 0.003 eV/atom.

---

# 6
DFT (PBE) results for a geometry-optimized La2YAlPd structure.

Cell lengths 5.881, 5.881, 4.578 Å; angles 90.00, 90.00, 90.00 degrees
Space group P4/mmm (No. 123)
Inequivalent atoms, fractional coordinates:
La1 0.000 0.500 0.000 [2 per cell]
Y1 0.000 0.000 0.500 [1 per cell]
Al1 0.500 0.500 0.000 [1 per cell]
Pd1 0.500 0.500 0.500 [1 per cell]

Computed properties:
Its formation energy from the elements is 0.10 eV per atom.

---

# 7
DFT (PBE) results for a geometry-optimized ThH2Br4 structure.

Cell lengths 11.275, 5.447, 8.290 Å; angles 90.00, 114.53, 90.00 degrees
Space group C2/m (No. 12)
Inequivalent atoms, fractional coordinates:
Th1 0.000 0.000 0.000 [2 per cell]
H1 0.205 0.000 0.000 [4 per cell]
Br1 0.110 0.000 0.361 [4 per cell]
Br2 0.132 0.500 0.000 [4 per cell]

Computed properties:
For the energy, the calculation gives -3.6454 eV/atom.

---

# 8
DFT (PBE) results for a geometry-optimized Nd3Sn5Pd5 structure.

Cell lengths 17.609, 4.585, 14.476 Å; angles 90.00, 99.55, 90.00 degrees
Space group C2/m (No. 12)
Inequivalent atoms, fractional coordinates:
Nd1 0.102 0.000 0.214 [4 per cell]
Nd2 0.135 0.000 0.585 [4 per cell]
Nd3 0.137 0.000 0.872 [4 per cell]
Sn1 0.000 0.000 0.000 [2 per cell]
Sn2 0.000 0.500 0.500 [2 per cell]
Sn3 0.030 0.500 0.720 [4 per cell]
Sn4 0.148 0.500 0.050 [4 per cell]
Sn5 0.152 0.500 0.402 [4 per cell]
Sn6 0.202 0.500 0.738 [4 per cell]
Pd1 0.010 0.500 0.902 [4 per cell]
Pd2 0.037 0.000 0.385 [4 per cell]
Pd3 0.217 0.500 0.237 [4 per cell]
Pd4 0.238 0.000 0.429 [4 per cell]
Pd5 0.240 0.000 0.069 [4 per cell]

Computed properties:
Its formation energy from the elements is -0.80 eV per atom.

---

# 9
DFT (PBE) results for a geometry-optimized Cd12Ge5Bi3 structure.

Cell lengths 16.645, 16.645, 16.645 Å; angles 90.00, 90.00, 90.00 degrees
Space group Ia-3d (No. 230)
Inequivalent atoms, fractional coordinates:
Cd1 0.029 0.069 0.645 [96 per cell]
Ge1 0.000 0.000 0.000 [16 per cell]
Ge2 0.000 0.250 0.375 [24 per cell]
Bi1 0.000 0.250 0.125 [24 per cell]

Computed properties:
Its formation energy from the elements is 0.19 eV per atom.

---

# 10
DFT (PBE) results for a geometry-optimized Sm5SnHg4 structure.

Cell lengths 3.776, 3.776, 19.283 Å; angles 90.00, 90.00, 90.00 degrees
Space group P4/mmm (No. 123)
Inequivalent atoms, fractional coordinates:
Sm1 0.000 0.000 0.000 [1 per cell]
Sm2 0.000 0.000 0.198 [2 per cell]
Sm3 0.000 0.000 0.397 [2 per cell]
Sn1 0.500 0.500 0.500 [1 per cell]
Hg1 0.500 0.500 0.100 [2 per cell]
Hg2 0.500 0.500 0.295 [2 per cell]

Computed properties:
Its formation energy from the elements is -0.51 eV per atom.

---

# 11
DFT (PBE) results for a geometry-optimized Ta2IrW structure.

Cell lengths 6.425, 6.425, 6.425 Å; angles 90.00, 90.00, 90.00 degrees
Space group F-43m (No. 216)
Inequivalent atoms, fractional coordinates:
Ta1 0.000 0.000 0.000 [4 per cell]
Ta2 0.250 0.250 0.250 [4 per cell]
Ir1 0.000 0.000 0.500 [4 per cell]
W1 0.250 0.250 0.750 [4 per cell]

Computed properties:
Its formation energy from the elements is -0.12 eV per atom. The calculation puts the excess energy over the best structure of this formula in the dataset at 0.205 eV/atom.

---

# 12
DFT (PBE) results for a geometry-optimized AsP2Rh structure.

Cell lengths 3.169, 3.169, 6.163 Å; angles 90.00, 90.00, 90.00 degrees
Space group P4/mmm (No. 123)
Inequivalent atoms, fractional coordinates:
As1 0.000 0.000 0.000 [1 per cell]
P1 0.500 0.500 0.296 [2 per cell]
Rh1 0.000 0.000 0.500 [1 per cell]

Computed properties:
Its formation energy from the elements is 0.15 eV per atom.